# 1
This record from Alexandria via LeMat-Bulk describes a relaxed structure of NiAu2Se. The functional is PBE-GGA.

Calculated values
SG: R3m (160)
volume: 70.0 Å³ per cell
total magnetization: 0.000 μB/cell
formation energy (no corrections): 0.03 eV per atom

extended XYZ file:
```
4
Lattice="-4.660 5.365 -4.784 -2.682 4.279 -6.920 -5.249 2.674 -6.221" Properties=species:S:1:pos:R:3 pbc="T T T"
Au -3.011 2.946 -4.287
Au -12.551 12.280 -17.870
Ni -6.228 6.093 -8.867
Se -9.686 9.476 -13.790
```



# 2
This record from Alexandria via LeMat-Bulk describes a relaxed structure of NiAuSe2. The functional is PBE-GGA.

Calculated values
SG: C2/c (15)
volume: 695.7 Å³ per cell
total magnetization: 0.000 μB/cell
formation energy (no corrections): -0.04 eV per atom

extended XYZ file:
```
32
Lattice="-7.123 15.611 2.251 -6.712 0.903 3.540 3.098 -3.898 5.797" Properties=species:S:1:pos:R:3 pbc="T T T"
Se -6.133 3.529 4.905
Se -9.372 12.632 8.860
Se -6.018 4.654 8.273
Se -1.366 -0.017 2.727
Se -2.647 4.484 6.750
Se -4.605 9.086 6.683
Se -4.631 1.273 7.609
Se -1.264 1.098 6.127
Se -8.056 9.191 8.383
Se 0.075 -2.325 5.620
Se -9.474 11.517 5.460
Se -2.681 3.424 3.205
Se -4.719 7.961 3.314
Se -10.813 14.940 5.968
Se -6.107 11.342 3.979
Se -8.090 8.131 4.838
Ni -9.067 10.569 9.941
Ni -6.028 9.193 4.827
Ni -10.684 12.817 6.920
Ni -1.671 2.047 1.647
Ni -0.053 -0.201 4.667
Ni -4.710 3.423 6.760
Ni -1.540 3.172 5.174
Ni -9.197 9.443 6.414
Au -6.933 11.082 6.498
Au -8.414 5.564 4.599
Au -5.493 5.699 3.880
Au -5.182 10.248 8.801
Au -3.804 1.533 5.090
Au -5.245 6.916 7.708
Au -2.323 7.052 6.989
Au -5.556 2.368 2.787
```



Question: Which value of formation energy (no corrections) does entry 1 give?
Answer: 0.03 eV per atom